Entry 1:
Density functional theory data (PBE) for a geometry-optimized AlIrSeN2 structure.

Computed properties:
Its space group is P4/mmm, No. 123. The value obtained for the raw formation energy is 25.68 kcal/mol of atoms.

The structure in POSCAR format:
```
AlIrSeN2
1.0
3.609 0.000 0.000
0.000 3.609 0.000
0.000 0.000 6.158
Al Ir Se N
1 1 1 2
Direct
0.000 0.000 0.000
0.500 0.500 0.500
0.000 0.000 0.500
0.000 0.500 0.000
0.500 0.000 0.000
```


Entry 2:
Density functional theory data (PBE) for a geometry-optimized AlTe2IrN structure.

Computed properties:
Its space group is P4/mmm, No. 123. The value obtained for the raw formation energy is 15.99 kcal/mol of atoms.

The structure in POSCAR format:
```
AlTe2IrN
1.0
5.372 0.000 0.000
0.000 5.372 0.000
0.000 0.000 3.404
Al Te Ir N
1 2 1 1
Direct
0.000 0.000 0.000
0.000 0.500 0.000
0.500 0.000 0.000
0.500 0.500 0.500
0.000 0.000 0.500
```


Entry 3:
Density functional theory data (PBE) for a geometry-optimized AlTe2IrN structure.

Computed properties:
Its space group is P4/mmm, No. 123. The value obtained for the raw formation energy is 7.61 kcal/mol of atoms.

The structure in POSCAR format:
```
AlTe2IrN
1.0
5.565 0.000 0.000
0.000 5.565 0.000
0.000 0.000 3.657
Al Te Ir N
1 2 1 1
Direct
0.000 0.000 0.000
0.000 0.500 0.500
0.500 0.000 0.500
0.500 0.500 0.500
0.500 0.500 0.000
```


Entry 4:
Density functional theory data (PBE) for a geometry-optimized ThAlIrN structure.

Computed properties:
Its space group is P4/nmm, No. 129. The value obtained for the raw formation energy is -24.41 kcal/mol of atoms.

The structure in POSCAR format:
```
ThAlIrN
1.0
4.149 0.000 0.000
0.000 4.149 0.000
0.000 0.000 8.008
Th Al Ir N
2 2 2 2
Direct
0.250 0.250 0.174
0.750 0.750 0.826
0.250 0.250 0.659
0.750 0.750 0.341
0.250 0.750 0.500
0.750 0.250 0.500
0.250 0.250 0.893
0.750 0.750 0.107
```


Entry 5:
Density functional theory data (PBE) for a geometry-optimized Ti2AlIrN structure.

Computed properties:
Its space group is P4/mmm, No. 123. The value obtained for the raw formation energy is -22.04 kcal/mol of atoms.

The structure in POSCAR format:
```
Ti2AlIrN
1.0
4.113 0.000 0.000
0.000 4.113 0.000
0.000 0.000 3.873
Ti Al Ir N
2 1 1 1
Direct
0.000 0.500 0.000
0.500 0.000 0.000
0.000 0.000 0.500
0.500 0.500 0.500
0.000 0.000 0.000
```


Entry 6:
Density functional theory data (PBE) for a geometry-optimized NaAlIr3 structure.

Computed properties:
Its space group is Pm-3m, No. 221. For the energy of formation, the calculation gives 0.911 eV per atom.

The structure in POSCAR format:
```
NaAlIr3
1.0
4.545 0.000 0.000
0.000 4.545 0.000
0.000 0.000 4.545
Na Al Ir
1 1 3
Direct
0.000 0.000 0.000
0.500 0.500 0.500
0.000 0.500 0.500
0.500 0.000 0.500
0.500 0.500 0.000
```


Entry 7:
Density functional theory data (PBE) for a geometry-optimized NaAl2Ir2 structure.

Computed properties:
Its space group is P4/mbm, No. 127. For the energy of formation, the calculation gives -0.577 eV per atom.

The structure in POSCAR format:
```
NaAl2Ir2
1.0
7.417 0.000 0.000
0.000 7.417 0.000
0.000 0.000 2.855
Na Al Ir
2 4 4
Direct
0.000 0.000 0.000
0.500 0.500 0.000
0.138 0.362 0.000
0.362 0.862 0.000
0.638 0.138 0.000
0.862 0.638 0.000
0.154 0.654 0.500
0.346 0.154 0.500
0.654 0.846 0.500
0.846 0.346 0.500
```


Entry 8:
Density functional theory data (PBE) for a geometry-optimized NaAl2Ir structure.

Computed properties:
Its space group is I-42d, No. 122. For the energy of formation, the calculation gives 0.075 eV per atom.

The structure in POSCAR format:
```
NaAl2Ir
1.0
-2.821 2.821 7.470
2.821 -2.821 7.470
2.821 2.821 -7.470
Na Al Ir
2 4 2
Direct
0.000 0.000 0.000
0.750 0.250 0.500
0.373 0.625 0.248
0.375 0.623 0.748
0.377 0.125 0.752
0.875 0.627 0.252
0.250 0.750 0.500
0.500 0.500 0.000
```


Entry 9:
Density functional theory data (PBE) for a geometry-optimized NaAl2Ir2 structure.

Computed properties:
Its space group is I4/mmm, No. 139. For the energy of formation, the calculation gives -0.310 eV per atom.

The structure in POSCAR format:
```
NaAl2Ir2
1.0
-2.074 2.074 5.358
2.074 -2.074 5.358
2.074 2.074 -5.358
Na Al Ir
1 2 2
Direct
0.000 0.000 0.000
0.373 0.373 0.000
0.627 0.627 0.000
0.250 0.750 0.500
0.750 0.250 0.500
```


Entry 10:
Density functional theory data (PBE) for a geometry-optimized NaAl2Ir2 structure.

Computed properties:
Its space group is I4/mmm, No. 139. For the energy of formation, the calculation gives -0.376 eV per atom.

The structure in POSCAR format:
```
NaAl2Ir2
1.0
-2.048 2.048 5.388
2.048 -2.048 5.388
2.048 2.048 -5.388
Na Al Ir
1 2 2
Direct
0.000 0.000 0.000
0.250 0.750 0.500
0.750 0.250 0.500
0.382 0.382 0.000
0.618 0.618 0.000
```


Entry 11:
Density functional theory data (PBE) for a geometry-optimized NaAlIr3 structure.

Computed properties:
Its space group is Pm-3m, No. 221. For the energy of formation, the calculation gives 1.999 eV per atom.

The structure in POSCAR format:
```
NaAlIr3
1.0
4.452 0.000 0.000
0.000 4.452 0.000
0.000 0.000 4.452
Na Al Ir
1 1 3
Direct
0.000 0.000 0.000
0.500 0.500 0.500
0.000 0.000 0.500
0.000 0.500 0.000
0.500 0.000 0.000
```


Entry 12:
Density functional theory data (PBE) for a geometry-optimized NaAl2IrO6 structure.

Computed properties:
Its space group is C2/c, No. 15. The value obtained for the raw formation energy is -40.49 kcal/mol of atoms.

The structure in POSCAR format:
```
NaAl2IrO6
1.0
4.351 -5.567 0.000
4.351 5.567 0.000
-2.672 0.000 5.479
Na Al Ir O
2 4 2 12
Direct
0.099 0.901 0.750
0.901 0.099 0.250
0.300 0.441 0.826
0.441 0.300 0.326
0.559 0.700 0.674
0.700 0.559 0.174
0.203 0.797 0.250
0.797 0.203 0.750
0.045 0.218 0.682
0.184 0.640 0.940
0.218 0.045 0.182
0.337 0.423 0.542
0.360 0.816 0.560
0.423 0.337 0.042
0.577 0.663 0.958
0.640 0.184 0.440
0.663 0.577 0.458
0.782 0.955 0.818
0.816 0.360 0.060
0.955 0.782 0.318
```


no.,DFT total energy (eV for the cell shown)
1,-27.17
2,-23.74
3,-25.56
4,-65.17
5,-41.50
6,-27.09
7,-58.82
8,-34.73
9,-28.08
10,-28.41
11,-21.65
12,-129.95